1 | Computed, not measured: a relaxed NaMgCoMo crystal at the PBE level of DFT.

Unit cell a=4.4462 b=4.4462 c=4.4462 alpha=60.00 beta=60.00 gamma=60.00
Sites, in units of the cell vectors:
Mo 0.2500 0.2500 0.2500
Co 0.0000 0.0000 0.0000
Na 0.7500 0.7500 0.7500
Mg 0.5000 0.5000 0.5000

Properties
- magnetization (μB/f.u.) = 0.010

2 | Computed, not measured: a relaxed NaMgCoMo crystal at the PBE level of DFT.

Unit cell a=4.4094 b=4.4094 c=4.4094 alpha=60.00 beta=60.00 gamma=60.00
Sites, in units of the cell vectors:
Mo 0.2500 0.2500 0.2500
Na 0.5000 0.5000 0.5000
Mg 0.7500 0.7500 0.7500
Co 0.0000 0.0000 0.0000

Properties
- magnetization (μB/f.u.) = 0.029

The most stable arrangement is 2, and the next structure is 8.3 kJ/mol of atoms less stable.

1 | Computed, not measured: a relaxed NaMgCoTe crystal at the PBE level of DFT.

Unit cell a=4.6961 b=4.6961 c=4.6961 alpha=60.00 beta=60.00 gamma=60.00
Sites, in units of the cell vectors:
Co 0.2500 0.2500 0.2500
Na 0.7500 0.7500 0.7500
Te 0.5000 0.5000 0.5000
Mg 0.0000 0.0000 0.0000

Properties
- magnetization (μB/f.u.) = 0.001

2 | Computed, not measured: a relaxed NaMgCoTe crystal at the PBE level of DFT.

Unit cell a=4.9606 b=4.9606 c=4.9606 alpha=60.00 beta=60.00 gamma=60.00
Sites, in units of the cell vectors:
Te 0.0000 0.0000 0.0000
Co 0.5000 0.5000 0.5000
Na 0.2500 0.2500 0.2500
Mg 0.7500 0.7500 0.7500

Properties
- magnetization (μB/f.u.) = 1.913

The most stable arrangement is 1, and the next structure is 10.9 kJ/mol of atoms less stable.

1 | Computed, not measured: a relaxed NaMgCoW crystal at the PBE level of DFT.

Unit cell a=4.3900 b=4.3900 c=4.3900 alpha=60.00 beta=60.00 gamma=60.00
Sites, in units of the cell vectors:
W 0.0000 0.0000 0.0000
Co 0.2500 0.2500 0.2500
Mg 0.5000 0.5000 0.5000
Na 0.7500 0.7500 0.7500

Properties
- magnetization (μB/f.u.) = 0.009

2 | Computed, not measured: a relaxed NaMgCoW crystal at the PBE level of DFT.

Unit cell a=4.4478 b=4.4478 c=4.4478 alpha=60.00 beta=60.00 gamma=60.00
Sites, in units of the cell vectors:
W 0.2500 0.2500 0.2500
Co 0.0000 0.0000 0.0000
Na 0.7500 0.7500 0.7500
Mg 0.5000 0.5000 0.5000

Properties
- magnetization (μB/f.u.) = 0.004

The most stable arrangement is 1, and the next structure is 8.9 kJ/mol of atoms less stable.

1 | Computed, not measured: a relaxed MgNbCoSn crystal at the PBE level of DFT.

Unit cell a=4.5841 b=4.5841 c=4.5841 alpha=60.00 beta=60.00 gamma=60.00
Sites, in units of the cell vectors:
Nb 0.2500 0.2500 0.2500
Sn 0.0000 0.0000 0.0000
Mg 0.5000 0.5000 0.5000
Co 0.7500 0.7500 0.7500

Properties
- magnetization (μB/f.u.) = 2.328

2 | Computed, not measured: a relaxed MgNbCoSn crystal at the PBE level of DFT.

Unit cell a=4.5497 b=4.5497 c=4.5497 alpha=60.00 beta=60.00 gamma=60.00
Sites, in units of the cell vectors:
Mg 0.2500 0.2500 0.2500
Sn 0.0000 0.0000 0.0000
Nb 0.5000 0.5000 0.5000
Co 0.7500 0.7500 0.7500

Properties
- magnetization (μB/f.u.) = 1.967

The most stable arrangement is 2, and the next structure is 1.8 kJ/mol of atoms less stable.

1 | Computed, not measured: a relaxed MgNbTlCo crystal at the PBE level of DFT.

Unit cell a=4.5623 b=4.5623 c=4.5623 alpha=60.00 beta=60.00 gamma=60.00
Sites, in units of the cell vectors:
Nb 0.5000 0.5000 0.5000
Tl 0.0000 0.0000 0.0000
Co 0.7500 0.7500 0.7500
Mg 0.2500 0.2500 0.2500

Properties
- magnetization (μB/f.u.) = 0.322

2 | Computed, not measured: a relaxed MgNbTlCo crystal at the PBE level of DFT.

Unit cell a=4.6290 b=4.6290 c=4.6290 alpha=60.00 beta=60.00 gamma=60.00
Sites, in units of the cell vectors:
Tl 0.0000 0.0000 0.0000
Mg 0.5000 0.5000 0.5000
Co 0.7500 0.7500 0.7500
Nb 0.2500 0.2500 0.2500

Properties
- magnetization (μB/f.u.) = 1.673

The most stable arrangement is 1, and the next structure is 18.4 kJ/mol of atoms less stable.

1 | Computed, not measured: a relaxed MgNbZnCo crystal at the PBE level of DFT.

Unit cell a=4.3850 b=4.3850 c=4.3850 alpha=60.00 beta=60.00 gamma=60.00
Sites, in units of the cell vectors:
Nb 0.2500 0.2500 0.2500
Mg 0.5000 0.5000 0.5000
Co 0.7500 0.7500 0.7500
Zn 0.0000 0.0000 0.0000

Properties
- magnetization (μB/f.u.) = 0.177

2 | Computed, not measured: a relaxed MgNbZnCo crystal at the PBE level of DFT.

Unit cell a=4.3443 b=4.3443 c=4.3443 alpha=60.00 beta=60.00 gamma=60.00
Sites, in units of the cell vectors:
Nb 0.5000 0.5000 0.5000
Zn 0.0000 0.0000 0.0000
Mg 0.2500 0.2500 0.2500
Co 0.7500 0.7500 0.7500

Properties
- magnetization (μB/f.u.) = 0.000

The most stable arrangement is 2, and the next structure is 29.9 kJ/mol of atoms less stable.

1 | Computed, not measured: a relaxed MgCoNi crystal at the PBE level of DFT.

Unit cell a=6.0555 b=3.7444 c=7.1002 alpha=90.00 beta=90.00 gamma=90.00
Sites, in units of the cell vectors:
Ni 0.7591 0.7500 0.1557
Ni 0.7409 0.2500 0.6557
Ni 0.2409 0.2500 0.8443
Ni 0.2591 0.7500 0.3443
Co 0.1178 0.7500 0.0395
Co 0.3822 0.2500 0.5395
Co 0.6178 0.7500 0.4605
Co 0.8822 0.2500 0.9605
Mg 0.4650 0.2500 0.1641
Mg 0.9650 0.2500 0.3359
Mg 0.0350 0.7500 0.6641
Mg 0.5350 0.7500 0.8359

Properties
- magnetization (μB/f.u.) = 1.861

2 | Computed, not measured: a relaxed MgCoNi crystal at the PBE level of DFT.

Unit cell a=6.1021 b=3.9964 c=6.7673 alpha=90.00 beta=90.00 gamma=90.00
Sites, in units of the cell vectors:
Mg 0.9970 0.7500 0.8051
Mg 0.4970 0.7500 0.6949
Mg 0.5030 0.2500 0.3051
Mg 0.0030 0.2500 0.1949
Co 0.3164 0.7500 0.0859
Co 0.1836 0.2500 0.5859
Co 0.6836 0.2500 0.9141
Co 0.8164 0.7500 0.4141
Ni 0.8064 0.2500 0.5909
Ni 0.3064 0.2500 0.9091
Ni 0.1936 0.7500 0.4091
Ni 0.6936 0.7500 0.0909

Properties
- magnetization (μB/f.u.) = 2.019

The most stable arrangement is 1, and the next structure is 3.4 kJ/mol of atoms less stable.